No. 1
VASP calculation (PBE-GGA) on Tm2ScPd after structural relaxation.

Energy above the lowest structure with this stoichiometry = 0.682 kcal/mol of atoms
Final energy = -22.2 eV per cell
Total magnetization = 0.000 μB/cell

abc: 3.530 3.530 7.705
angles: 90.00 90.00 90.00
Fractional positions:
Pd: 0.500 0.500 0.000
Tm: 0.000 0.000 0.215
Tm: 0.000 0.000 0.785
Sc: 0.500 0.500 0.500

---

No. 2
VASP calculation (PBE-GGA) on TmScPd4 after structural relaxation.

Energy above the lowest structure with this stoichiometry = 1.424 kcal/mol of atoms
Final energy = -36.1 eV per cell
Total magnetization = 0.000 μB/cell

abc: 5.359 5.359 5.359
angles: 60.00 60.00 60.00
Fractional positions:
Sc: 0.250 0.250 0.250
Pd: 0.625 0.625 0.125
Pd: 0.125 0.625 0.625
Pd: 0.625 0.125 0.625
Pd: 0.625 0.625 0.625
Tm: 0.000 0.000 0.000

---

No. 3
VASP calculation (PBE-GGA) on Tm2ScPd after structural relaxation.

Energy above the lowest structure with this stoichiometry = 4.041 kcal/mol of atoms
Final energy = -21.6 eV per cell
Total magnetization = 0.001 μB/cell

abc: 3.493 3.493 9.727
angles: 79.66 79.66 60.00
Fractional positions:
Tm: 0.737 0.737 0.788
Tm: 0.263 0.263 0.212
Pd: 0.000 0.000 0.000
Sc: 0.500 0.500 0.500

---

No. 4
VASP calculation (PBE-GGA) on TmSc2Pd3 after structural relaxation.

Final energy = -76.3 eV per cell
Total magnetization = 0.000 μB/cell

abc: 4.809 7.591 6.588
angles: 90.00 90.01 71.53
Fractional positions:
Sc: 0.667 0.665 0.500
Sc: 0.000 0.000 0.500
Sc: 0.000 0.000 0.000
Sc: 0.333 0.335 0.500
Tm: 0.335 0.330 0.000
Tm: 0.665 0.670 0.000
Pd: 0.501 0.000 0.742
Pd: 0.163 0.675 0.740
Pd: 0.837 0.325 0.260
Pd: 0.162 0.675 0.260
Pd: 0.499 0.000 0.258
Pd: 0.838 0.325 0.740

---

No. 5
VASP calculation (PBE-GGA) on TmSc3Pd12 after structural relaxation.

Final energy = -99.5 eV per cell
Total magnetization = 0.000 μB/cell

abc: 4.032 4.032 16.113
angles: 90.00 90.00 90.00
Fractional positions:
Sc: 0.000 0.000 0.252
Sc: 0.000 0.000 0.748
Sc: 0.000 0.000 0.500
Pd: 0.000 0.500 0.377
Pd: 0.000 0.500 0.870
Pd: 0.500 0.000 0.130
Pd: 0.500 0.000 0.377
Pd: 0.000 0.500 0.130
Pd: 0.500 0.500 0.500
Pd: 0.500 0.000 0.623
Pd: 0.500 0.500 0.747
Pd: 0.500 0.000 0.870
Pd: 0.500 0.500 0.253
Pd: 0.000 0.500 0.623
Pd: 0.500 0.500 0.000
Tm: 0.000 0.000 0.000

---

No. 6
VASP calculation (PBE-GGA) on Tm3ScPd12 after structural relaxation.

Final energy = -96.3 eV per cell
Total magnetization = 0.000 μB/cell

abc: 4.073 4.073 16.301
angles: 90.00 90.00 90.00
Fractional positions:
Pd: 0.000 0.500 0.373
Pd: 0.000 0.500 0.627
Pd: 0.500 0.500 0.000
Pd: 0.500 0.000 0.627
Pd: 0.500 0.000 0.880
Pd: 0.000 0.500 0.880
Pd: 0.500 0.000 0.373
Pd: 0.000 0.500 0.120
Pd: 0.500 0.500 0.753
Pd: 0.500 0.000 0.120
Pd: 0.500 0.500 0.500
Pd: 0.500 0.500 0.247
Sc: 0.000 0.000 0.000
Tm: 0.000 0.000 0.753
Tm: 0.000 0.000 0.247
Tm: 0.000 0.000 0.500

---

No. 7
VASP calculation (PBE-GGA) on Tm4ScPd15 after structural relaxation.

Final energy = -120.1 eV per cell
Total magnetization = 0.000 μB/cell

abc: 4.073 4.073 20.421
angles: 90.00 90.00 90.00
Fractional positions:
Pd: 0.000 0.500 0.500
Pd: 0.000 0.500 0.298
Pd: 0.500 0.500 0.399
Pd: 0.000 0.500 0.904
Pd: 0.500 0.500 0.000
Pd: 0.500 0.000 0.702
Pd: 0.500 0.000 0.096
Pd: 0.500 0.500 0.803
Pd: 0.000 0.500 0.096
Pd: 0.500 0.000 0.298
Pd: 0.500 0.500 0.197
Pd: 0.000 0.500 0.702
Pd: 0.500 0.000 0.500
Pd: 0.500 0.500 0.601
Pd: 0.500 0.000 0.904
Tm: 0.000 0.000 0.601
Tm: 0.000 0.000 0.803
Tm: 0.000 0.000 0.399
Tm: 0.000 0.000 0.197
Sc: 0.000 0.000 0.000

---

No. 8
VASP calculation (PBE-GGA) on Tm3ScPd6 after structural relaxation.

Final energy = -119.5 eV per cell
Total magnetization = 0.000 μB/cell

abc: 4.906 7.959 10.355
angles: 110.50 90.00 90.00
Fractional positions:
Tm: 0.750 0.642 0.202
Tm: 0.250 0.358 0.798
Tm: 0.250 0.798 0.995
Tm: 0.250 0.519 0.381
Tm: 0.750 0.202 0.005
Tm: 0.750 0.481 0.619
Pd: 0.750 0.941 0.131
Pd: 0.250 0.154 0.188
Pd: 0.250 0.242 0.501
Pd: 0.750 0.846 0.812
Pd: 0.250 0.059 0.869
Pd: 0.750 0.340 0.312
Pd: 0.250 0.660 0.688
Pd: 0.750 0.758 0.499
Pd: 0.250 0.860 0.302
Pd: 0.250 0.455 0.085
Pd: 0.750 0.545 0.915
Pd: 0.750 0.140 0.698
Sc: 0.750 0.059 0.409
Sc: 0.250 0.941 0.591